Material: TmCN2F
Method: DFT, PBE
State: relaxed Values from VASP.

Computed properties:
- ΔE_f (raw) (eV per formula unit) = -8.4
- volume (Å³ per atom) = 12.1

The structure in Quantum ESPRESSO input format:
```
&SYSTEM
  ibrav = 0, nat = 10, ntyp = 4
/
ATOMIC_SPECIES
Tm 168.93 Tm.upf
C 12.01 C.upf
N 14.01 N.upf
F 19.00 F.upf
ATOMIC_POSITIONS angstrom
Tm 0.5688 0.8581 1.7025
Tm 4.2510 2.5744 4.7737
C 1.4335 0.8581 5.4023
C 3.3863 2.5744 1.0740
N 0.2171 0.8581 5.6841
N 2.1998 2.5744 1.3348
N 2.6201 0.8581 5.1414
N 4.6028 2.5744 0.7921
F 0.5898 2.5744 3.2893
F 4.2300 0.8581 3.1869
CELL_PARAMETERS angstrom
5.4295 0.0000 0.0000
0.0000 3.4326 0.0000
-0.6096 0.0000 6.4762
```